First-principles (GGA-PBE) data for SrTh2RuN4 after structural relaxation, as listed in Alexandria via LeMat-Bulk.

D(E_F): 3.61 states/eV/f.u.
E: -8.34 eV per atom
total moment: 0.00 Bohr magnetons per cell
formation energy (no corrections): -92 kJ per mole of atoms

a b c (Å): 3.679 12.099 12.517
angles (deg): 90.00 90.00 90.00
Space group Cmcm (No. 63)
Symmetry-distinct sites (fractional):
Sr 0.000 0.077 0.250
Th 0.000 0.367 0.053
Ru 0.000 0.183 0.750
N 0.000 0.000 0.000
N 0.000 0.255 0.606
N 0.000 0.408 0.250